Density functional theory data (PBE) for a relaxed structure of Np2MnCuS5.

a = 3.776 Å, b = 8.240 Å, c = 11.031 Å
α = 90.00°, β = 90.00°, γ = 103.24°
Last column: magnetic moment on the atom in μB.
Positions (direct):
Np 0.873 0.746 0.805  3.52
Np 0.113 0.227 0.690  3.54
Np 0.127 0.254 0.305  3.52
Np 0.887 0.773 0.190  3.54
Mn 0.802 0.604 0.511  -4.04
Mn 0.198 0.396 0.011  -4.04
Cu 0.565 0.131 0.956  -0.14
Cu 0.435 0.869 0.456  -0.14
S 0.355 0.709 0.003  -0.11
S 0.693 0.387 0.849  -0.11
S 0.498 0.996 0.777  -0.13
S 0.290 0.581 0.667  -0.12
S 0.956 0.911 0.565  -0.13
S 0.645 0.291 0.503  -0.11
S 0.307 0.613 0.349  -0.11
S 0.502 0.004 0.277  -0.13
S 0.710 0.419 0.167  -0.12
S 0.044 0.089 0.065  -0.13

Output
DOS(E_F), states/eV per atom: 2.0750
Energy, eV per cell: -136.86